## ReSe2Cl12 (SCAN)

Data for ReSe2Cl12 at its PBEsol-relaxed geometry.

Cell and atoms, written as POSCAR:
```
ReSe2Cl12
1.0
8.6264 0.0250 0.0000
-0.5896 8.6062 0.0000
-4.0184 -4.3156 10.6354
Re Se Cl
2 4 24
Cartesian
0.0000 0.0000 1.7339 Re
-0.2948 4.3031 7.0516 Re
-2.1301 1.9360 10.5573 Se
2.1301 -1.9360 10.5573 Se
6.3960 -1.9743 5.2396 Se
2.2304 1.9993 5.2396 Se
5.0148 -2.4064 6.8914 Cl
-1.9133 4.0126 5.3678 Cl
1.3707 4.6054 8.6639 Cl
0.1662 2.0073 7.0223 Cl
2.4920 -0.4839 8.9336 Cl
7.8623 6.9961 0.0501 Cl
-1.9602 4.0009 8.6639 Cl
2.3228 -0.2963 1.7046 Cl
3.9550 2.4338 0.0167 Cl
1.3237 4.5936 5.3678 Cl
4.3838 6.1675 3.6159 Cl
-2.4920 0.4839 8.9336 Cl
1.5557 4.8432 1.5737 Cl
0.1745 1.6351 0.0501 Cl
2.4407 -0.1848 5.3344 Cl
3.6115 2.4314 6.8914 Cl
0.1829 1.6828 3.3461 Cl
6.4811 3.7880 1.5737 Cl
3.6530 2.4637 3.6159 Cl
-0.7724 6.9235 3.3461 Cl
-0.1662 -2.0073 7.0223 Cl
6.1857 0.2098 5.3344 Cl
4.0818 6.1974 0.0167 Cl
6.3036 0.3212 1.7046 Cl
```

Output
Symmetry = Fdd2

## AlZn3 (SCAN)

Data for AlZn3 at its PBEsol-relaxed geometry.

Cell and atoms, written as POSCAR:
```
AlZn3
1.0
-2.2163 -0.0270 -1.6093
-1.9702 -1.8989 2.7452
-1.6361 4.8378 2.1721
Zn Al
3 1
Cartesian
-3.3145 2.6482 2.1893 Zn
-0.8180 2.4189 1.0860 Zn
-2.5081 0.2637 1.1187 Zn
0.0000 0.0000 0.0000 Al
```

Output
Symmetry = Pmmm
ΔE_f = 0.01 eV/atom

## CsKCuHg2 (SCAN)

Data for CsKCuHg2 at its PBEsol-relaxed geometry.

Cell and atoms, written as POSCAR:
```
CsKCuHg2
1.0
-1.9716 2.3474 -5.3634
-5.7227 0.4220 2.2884
1.5443 7.1206 2.5488
Cs K Hg Cu
1 1 2 1
Cartesian
0.7721 3.5603 1.2744 Cs
0.0000 0.0000 0.0000 K
-2.8613 0.2110 1.1442 Hg
-0.9858 1.1737 -2.6817 Hg
-3.0750 4.9450 -0.2631 Cu
```

Output
Symmetry = P4/mmm
ΔE_f = 0.57 eV/atom

## BeRuO2 (SCAN)

Data for BeRuO2 at its PBEsol-relaxed geometry.

Cell and atoms, written as POSCAR:
```
BeRuO2
1.0
-0.1841 2.2333 -1.3663
-1.4737 0.0933 -2.1697
-5.1020 2.3319 1.9782
Ru O Be
1 2 1
Cartesian
0.0000 0.0000 0.0000 Ru
-3.1537 2.8384 -2.4980 O
-3.6061 1.8201 0.9402 O
-3.3799 2.3292 -0.7789 Be
```

Output
Symmetry = R-3m

## NaAlH4 (SCAN)

Data for NaAlH4 at its PBEsol-relaxed geometry.

Cell and atoms, written as POSCAR:
```
NaAlH4
1.0
4.8579 0.0000 0.0000
0.0000 4.8579 0.0000
-2.4289 -2.4289 5.3031
Na Al H
2 2 8
Cartesian
0.0000 2.4289 2.6515 Na
0.0000 0.0000 0.0000 Na
2.4289 0.0000 2.6515 Al
2.4289 2.4289 0.0000 Al
-0.7474 -1.1501 4.3995 H
1.2789 0.7474 1.7480 H
3.5790 -0.7474 1.7480 H
0.7474 1.1501 4.3995 H
1.6815 -1.1501 3.5551 H
1.2789 3.1763 0.9036 H
3.5790 1.6815 0.9036 H
3.1763 1.1501 3.5551 H
```

Output
Symmetry = I4_1/a

## CsNaEuNb5O15 (SCAN)

Data for CsNaEuNb5O15 at its PBEsol-relaxed geometry.

Cell and atoms, written as POSCAR:
```
CsNaEuNb5O15
1.0
7.6445 0.0000 0.0000
0.0000 7.8484 0.0000
0.0000 0.0000 10.6001
Cs Na Eu Nb O
2 2 2 10 30
Cartesian
0.0000 5.7293 5.1641 Cs
0.0000 1.8051 5.4360 Cs
3.8222 5.6692 0.1040 Na
3.8222 1.7451 10.4961 Na
0.0000 1.7491 10.4303 Eu
0.0000 5.6733 0.1698 Eu
1.9437 3.7072 8.5458 Nb
5.7008 3.7072 8.5458 Nb
5.7008 7.6314 2.0543 Nb
1.9437 7.6314 2.0543 Nb
1.9318 7.5995 8.5531 Nb
5.7127 7.5995 8.5531 Nb
5.7127 3.6753 2.0470 Nb
1.9318 3.6753 2.0470 Nb
3.8222 3.9049 5.2860 Nb
3.8222 7.8291 5.3140 Nb
3.8222 5.7341 5.2263 O
3.8222 1.8099 5.3738 O
2.3834 7.6040 6.7037 O
5.2611 7.6040 6.7037 O
5.2611 3.6799 3.8964 O
2.3834 3.6799 3.8964 O
2.0763 1.7574 8.8950 O
5.5682 1.7574 8.8950 O
5.5682 5.6815 1.7050 O
2.0763 5.6815 1.7050 O
1.5224 5.6785 8.7896 O
6.1221 5.6785 8.7896 O
6.1221 1.7544 1.8105 O
1.5224 1.7544 1.8105 O
3.8222 7.4086 9.0971 O
3.8222 3.4844 1.5030 O
2.3845 3.7733 6.6997 O
5.2600 3.7733 6.6997 O
5.2600 7.6974 3.9004 O
2.3845 7.6974 3.9004 O
1.3972 3.7189 0.0011 O
6.2472 3.7189 0.0011 O
6.2472 7.6430 10.5990 O
1.3972 7.6430 10.5990 O
0.0000 0.1591 8.2534 O
0.0000 4.0832 2.3466 O
3.8222 3.9670 9.0998 O
3.8222 0.0428 1.5003 O
0.0000 3.3747 8.2500 O
0.0000 7.2989 2.3501 O
```

Output
Symmetry = Pmc2_1

## YMg5 (SCAN)

Data for YMg5 at its PBEsol-relaxed geometry.

Cell and atoms, written as POSCAR:
```
YMg5
1.0
-3.5403 0.6375 -4.2459
-1.0665 -4.2749 -3.3994
-5.6760 -2.7421 0.6743
Y Mg
1 5
Cartesian
-5.1414 -3.1898 -3.4855 Y
-0.3588 -1.4383 -1.1437 Mg
-6.6370 -4.3874 -6.0650 Mg
-2.3492 0.4230 -2.8173 Mg
-1.8989 -2.6221 -3.6842 Mg
-3.6458 -1.9921 -0.9059 Mg
```

Output
Symmetry = R32
ΔE_f = 0.01 eV/atom

## KTiRe3 (SCAN)

Data for KTiRe3 at its PBEsol-relaxed geometry.

Cell and atoms, written as POSCAR:
```
KTiRe3
1.0
4.6633 0.0000 0.0000
0.0000 4.6633 0.0000
0.0000 0.0000 4.6633
Re K Ti
3 1 1
Cartesian
0.0000 2.3316 0.0000 Re
0.0000 0.0000 2.3316 Re
2.3316 0.0000 0.0000 Re
2.3316 2.3316 2.3316 K
0.0000 0.0000 0.0000 Ti
```

Output
Symmetry = Pm-3m
ΔE_f = 2.13 eV/atom

## ZnTe2As (SCAN)

Data for ZnTe2As at its PBEsol-relaxed geometry.

Cell and atoms, written as POSCAR:
```
ZnTe2As
1.0
-0.3106 2.4997 -2.2546
-3.0103 -1.2196 -0.9376
-4.0041 5.1066 6.2134
As Te Zn
1 2 1
Cartesian
-3.9762 3.5934 1.9974 As
-3.8320 4.8871 5.9463 Te
-2.8410 2.1457 0.2359 Te
-2.6819 3.4204 4.1617 Zn
```

Output
Energy above the lowest structure with this stoichiometry = 0.0 meV/atom
Symmetry = P4mm

## Li3V2O4F2 (SCAN)

Data for Li3V2O4F2 at its PBEsol-relaxed geometry.

Cell and atoms, written as POSCAR:
```
Li3V2O4F2
1.0
5.7508 0.0000 0.0000
-2.8754 4.9831 0.0426
0.0000 0.0260 14.5737
Li V O F
12 8 16 8
Cartesian
1.6317 4.1549 12.1213 Li
1.4465 4.1345 4.8953 Li
2.8754 0.0600 13.9300 Li
-1.6317 4.1549 12.1213 Li
-1.4465 4.1345 4.8953 Li
0.0000 3.4134 10.0610 Li
0.0000 1.6688 12.2327 Li
0.0000 1.6429 4.8891 Li
4.2198 2.4190 14.0537 Li
1.5310 2.4190 14.0537 Li
4.2183 1.0569 10.3292 Li
1.5325 1.0569 10.3292 Li
2.8754 0.0522 7.2197 V
2.8754 4.9261 7.4733 V
0.0000 3.3244 2.3895 V
4.2491 2.4374 7.2967 V
2.8754 3.2597 2.4811 V
1.5018 2.4374 7.2967 V
4.2558 0.8652 2.4624 V
1.4951 0.8652 2.4624 V
1.4534 4.1729 1.5235 O
1.3807 4.1069 8.2906 O
0.0000 4.9395 3.5861 O
-1.3807 4.1069 8.2906 O
-1.4534 4.1729 1.5235 O
2.8754 4.9771 3.5826 O
0.0000 3.2998 6.2082 O
0.0000 1.6519 1.4959 O
0.0000 1.6603 8.2914 O
-1.4059 2.5034 3.5635 O
2.8754 3.3501 6.2277 O
2.8754 1.6080 8.3827 O
2.8754 1.6744 1.3403 O
1.4059 2.5034 3.5635 O
4.3675 0.7902 6.2089 O
1.3834 0.7902 6.2089 O
0.0000 4.9975 10.9112 F
0.0000 0.1968 10.9457 F
0.0000 3.2854 13.4843 F
-1.3158 2.6492 11.0186 F
2.8754 3.3665 13.3652 F
1.3158 2.6492 11.0186 F
4.3433 0.8085 13.2822 F
1.4075 0.8085 13.2822 F
```

Output
Energy above the lowest structure with this stoichiometry = 5.9 meV/atom
Symmetry = Cm

## CrTcW2 (SCAN)

Data for CrTcW2 at its PBEsol-relaxed geometry.

Cell and atoms, written as POSCAR:
```
CrTcW2
1.0
-0.7162 0.9118 2.4130
-3.1453 -2.9264 0.1722
3.3608 -3.5347 1.3171
Cr Tc W
1 1 2
Cartesian
1.2958 -1.2815 1.8911 Cr
0.7697 -3.8881 1.6612 Tc
2.6277 -2.6059 3.7111 W
-1.2272 -1.7080 2.2341 W
```

Output
Energy above the lowest structure with this stoichiometry = 54.3 meV/atom
Symmetry = Pm
ΔE_f = 0.07 eV/atom

## P2IrSO (SCAN)

Data for P2IrSO at its PBEsol-relaxed geometry.

Cell and atoms, written as POSCAR:
```
P2IrSO
1.0
3.1719 0.0000 0.0000
0.0000 4.4683 0.0000
0.0000 0.0000 4.4683
P S Ir O
2 1 1 1
Cartesian
0.0000 0.0000 2.2342 P
0.0000 2.2342 0.0000 P
0.0000 0.0000 0.0000 S
1.5859 2.2342 2.2342 Ir
1.5859 0.0000 0.0000 O
```

Output
Energy above the lowest structure with this stoichiometry = 126.8 meV/atom
Symmetry = P4/mmm

## Al2AgSb (SCAN)

Data for Al2AgSb at its PBEsol-relaxed geometry.

Cell and atoms, written as POSCAR:
```
Al2AgSb
1.0
-0.8391 -3.2972 -2.4732
2.5358 -2.4028 2.3429
-4.2396 1.7817 2.6400
Sb Al Ag
1 2 1
Cartesian
0.8483 -2.8500 -0.0652 Sb
-2.1152 -2.1828 0.0508 Al
-0.4278 -1.7355 2.4589 Al
0.0000 0.0000 0.0000 Ag
```

Output
Symmetry = I4/mmm

## YOsCl2 (SCAN)

Data for YOsCl2 at its PBEsol-relaxed geometry.

Cell and atoms, written as POSCAR:
```
YOsCl2
1.0
-3.0122 -0.7948 -0.1790
0.5813 -1.6163 -2.6052
1.5179 -6.7752 4.5422
Y Os Cl
1 1 2
Cartesian
-0.0951 -6.2063 1.9605 Y
0.7564 -3.3762 2.2634 Os
1.4386 -6.4214 4.3050 Cl
-0.7361 -3.3450 0.0423 Cl
```

Output
Energy above the lowest structure with this stoichiometry = 0.0 meV/atom
Symmetry = P4mm

## MnCrFe2 (SCAN)

Data for MnCrFe2 at its PBEsol-relaxed geometry.

Cell and atoms, written as POSCAR:
```
MnCrFe2
1.0
-1.1005 -0.0496 -2.6338
2.6685 -2.6702 -1.0648
-3.2097 -1.4899 2.9165
Cr Mn Fe
1 1 2
Cartesian
0.1286 -2.7515 -0.0019 Cr
0.7647 -1.3826 -1.8408 Mn
-1.6329 -4.1994 -0.7859 Fe
-1.7597 -1.4457 -0.7848 Fe
```

Output
Symmetry = Imm2
ΔE_f = 0.01 eV/atom

## KNi3P3O11 (SCAN)

Data for KNi3P3O11 at its PBEsol-relaxed geometry.

Cell and atoms, written as POSCAR:
```
KNi3P3O11
1.0
9.3232 0.0000 0.0000
0.0000 9.8054 0.0250
0.0000 4.8222 8.6472
K Ni P O
4 12 12 44
Cartesian
7.1171 1.9999 3.5849 K
6.8676 9.3137 7.9210 K
2.2060 12.6277 5.0874 K
2.4556 5.3139 0.7512 K
3.4261 9.2711 5.3870 Ni
1.2355 1.9573 1.0508 Ni
5.8971 5.3564 3.2853 Ni
8.0877 12.6702 7.6214 Ni
8.1139 7.7250 5.2127 Ni
5.8708 10.2166 0.9016 Ni
1.2092 6.9026 3.4595 Ni
3.4524 4.4110 7.7706 Ni
3.4292 9.3333 2.2879 Ni
1.2324 6.8417 6.5990 Ni
5.8940 5.2943 6.3843 Ni
8.0907 7.7859 2.0732 Ni
6.1678 8.6600 3.7481 P
7.8170 6.1684 8.0592 P
3.1554 5.9676 4.9241 P
1.5062 8.4592 0.6130 P
0.6913 9.9670 3.6553 P
3.9703 7.4754 7.9664 P
8.6319 4.6606 5.0169 P
5.3528 7.1521 0.7058 P
0.5492 10.0032 6.5346 P
4.1124 2.6894 2.1985 P
8.7740 4.6244 2.1376 P
5.2107 11.9382 6.4737 P
6.8125 7.1922 3.6141 O
7.1722 4.7006 7.9252 O
2.5106 7.4353 5.0582 O
2.1510 9.9269 0.7471 O
4.6343 8.7023 3.7777 O
0.0273 6.2107 8.0888 O
4.6889 5.9253 4.8946 O
9.2959 8.4169 0.5835 O
6.8039 9.2245 5.0160 O
7.1809 1.9107 0.6799 O
2.5193 5.4031 3.6562 O
2.1423 12.7169 7.9923 O
6.7633 9.3328 2.4560 O
7.2214 6.8412 6.7671 O
2.5598 5.2948 6.2162 O
2.1017 7.7864 1.9051 O
0.1968 10.8757 2.5656 O
4.4647 8.3841 6.8766 O
9.1263 3.7519 6.1067 O
4.8584 6.2435 1.7956 O
0.0159 8.5396 3.6057 O
4.6456 6.0480 7.9168 O
9.3072 6.0880 5.0665 O
4.6775 8.5796 0.7555 O
2.2277 9.9002 3.7890 O
2.4338 7.4086 8.1001 O
7.0954 4.7274 4.8832 O
6.8893 7.2190 0.5721 O
0.1776 10.5992 5.0384 O
4.4839 3.2854 0.7022 O
9.1455 4.0284 3.6339 O
4.8392 11.3422 7.9700 O
9.0790 10.8534 7.4925 O
4.9057 3.5396 3.1564 O
0.2442 3.7741 1.1797 O
4.4174 11.0879 5.5158 O
2.0609 10.0602 6.6603 O
2.6006 2.7464 2.3242 O
7.2622 4.5674 2.0119 O
6.7225 11.8812 6.3480 O
0.0698 8.5222 6.5082 O
4.5917 11.0138 2.1972 O
9.2533 6.1054 2.1640 O
4.7314 3.6138 6.4751 O
```

Output
Symmetry = P2_1/c

## FeBRh3 (SCAN)

Data for FeBRh3 at its PBEsol-relaxed geometry.

Cell and atoms, written as POSCAR:
```
FeBRh3
1.0
-2.3915 2.8993 -1.3758
-1.5407 0.4678 3.6640
2.8151 2.7190 0.8366
B Rh Fe
1 3 1
Cartesian
0.0000 0.0000 0.0000 B
-0.7704 0.2339 1.8320 Rh
1.4075 1.3595 0.4183 Rh
-1.1957 1.4496 -0.6879 Rh
-0.5586 3.0430 1.5624 Fe
```

Output
Energy above the lowest structure with this stoichiometry = 0.0 meV/atom
Symmetry = Pm-3m
ΔE_f = -0.16 eV/atom

## TlCd3 (SCAN)

Data for TlCd3 at its PBEsol-relaxed geometry.

Cell and atoms, written as POSCAR:
```
TlCd3
1.0
-0.2021 -1.2381 3.0069
-1.5263 -2.8355 0.4950
7.9802 -6.2121 -0.2565
Tl Cd
1 3
Cartesian
0.0000 0.0000 0.0000 Tl
4.5701 -7.6470 2.4538 Cd
3.1259 -5.1429 1.6227 Cd
1.6817 -2.6388 0.7916 Cd
```

Output
Symmetry = R-3m
ΔE_f = 0.06 eV/atom

## SrYAu2F (SCAN)

Data for SrYAu2F at its PBEsol-relaxed geometry.

Cell and atoms, written as POSCAR:
```
SrYAu2F
1.0
-5.3693 0.0269 0.6226
-0.5545 -2.6710 -4.6664
0.3638 -6.0093 3.3964
Y Sr Au F
1 1 2 1
Cartesian
0.1819 -3.0046 1.6982 Y
0.0000 0.0000 0.0000 Sr
-0.2772 -1.3355 -2.3332 Au
-2.6846 0.0134 0.3113 Au
-2.7800 -4.3267 -0.3237 F
```

Output
Symmetry = P4/mmm

For the records above, the corresponding energy values read -14.309, -12.061, -38.961, -14.379, -4.509, -18.214, -8.770, -45.398, -27.015, -9.459, -48.132, -21.017, -20.832, -29.356, -18.219, -10.869, -25.532, -40.836, -38.009 eV per atom.